First-principles (PBE-GGA) data for a relaxed structure of Be3ZnOs, as listed in Alexandria via LeMat-Bulk.

Its total energy is -3.608 eV per atom. For the formation energy, the calculation gives 1.128 eV/atom. The value obtained for the volume is 12.13 Å³/atom.

It has space group Pm-3m (No. 221), with a = 3.9285 Å, b = 3.9285 Å, c = 3.9285 Å, α = 90.00°, β = 90.00° and γ = 90.00°. The inequivalent atoms are Be at (0.0000, 0.0000, 0.5000), Zn at (0.0000, 0.0000, 0.0000) and Os at (0.5000, 0.5000, 0.5000).